Version 1
VASP calculation (GGA-PBE) on a relaxed Ta6TiNb3 crystal.

Output
Symmetry = No. 225
Calculated volume = 21.3 Å³ per atom

```
Ta6TiNb3
1.0
-4.5226 4.9441 0.1063
-2.7143 2.1820 -5.7255
-6.4274 -1.3082 -1.3734
Ta Ti Nb
6 1 3
Direct
0.7550 0.7550 0.2450
0.2450 0.7550 0.7550
0.2450 0.7550 0.2450
0.7550 0.2450 0.2450
0.7550 0.2450 0.7550
0.2450 0.2450 0.7550
0.0000 0.0000 0.0000
0.7500 0.7500 0.7500
0.2500 0.2500 0.2500
0.5000 0.5000 0.5000
```

***

Version 2
VASP calculation (GGA-PBE) on a relaxed Ta6TiNb3 crystal.

Output
Symmetry = No. 11
Calculated volume = 18.1 Å³ per atom

```
Ta6TiNb3
1.0
-1.8578 -4.3132 0.0432
7.3234 -3.1688 -1.4311
-3.3210 1.5340 10.3254
Ta Ti Nb
12 2 6
Direct
0.7500 0.6493 0.1008
0.2500 0.3507 0.8992
0.7500 0.0567 0.2048
0.2500 0.9433 0.7952
0.7500 0.0512 0.6980
0.2500 0.9488 0.3020
0.7500 0.2516 0.5026
0.2500 0.7484 0.4974
0.7500 0.4512 0.2991
0.2500 0.5488 0.7009
0.7500 0.8500 0.9015
0.2500 0.1500 0.0985
0.7500 0.6531 0.6022
0.2500 0.3469 0.3978
0.7500 0.8490 0.4013
0.2500 0.1510 0.5987
0.7500 0.4533 0.7992
0.2500 0.5467 0.2008
0.7500 0.2461 0.9979
0.2500 0.7539 0.0021
```

***

Which structure is most stable? version 2, by 144.7 kJ/mol of atoms over the runner-up.

***

Version 1
VASP calculation (GGA-PBE) on a relaxed Ta6TiNb crystal.

Output
Symmetry = No. 166
Calculated volume = 18.4 Å³ per atom

```
Ta6TiNb
1.0
-3.2413 4.8548 0.2178
-3.2281 -4.6760 1.3555
4.5796 0.4361 3.6000
Ta Ti Nb
6 1 1
Direct
0.2494 0.7502 0.2494
0.2494 0.2494 0.7502
0.7506 0.2498 0.7506
0.2498 0.7506 0.7506
0.7506 0.7506 0.2498
0.7502 0.2494 0.2494
0.0000 0.0000 0.0000
0.5000 0.5000 0.5000
```

***

Version 2
VASP calculation (GGA-PBE) on a relaxed Ta6TiNb crystal.

Output
Symmetry = No. 38
Calculated volume = 18.1 Å³ per atom

```
Ta6TiNb
1.0
-1.0999 0.3717 3.1009
-5.2223 -3.8150 -1.3951
3.4110 -5.3579 1.8523
Ta Ti Nb
6 1 1
Direct
0.5000 0.6241 0.8746
0.5000 0.1254 0.3759
0.5000 0.1262 0.8738
0.0000 0.8747 0.6251
0.0000 0.3749 0.1253
0.0000 0.3758 0.6242
0.0000 0.8741 0.1259
0.5000 0.6252 0.3748
```

***

Which structure is most stable? version 2, by 15.2 kJ/mol of atoms over the runner-up.

***

Version 1
VASP calculation (GGA-PBE) on a relaxed TaTi3Nb crystal.

Output
Symmetry = No. 221
Calculated volume = 21.1 Å³ per atom

```
TaTi3Nb
1.0
4.7221 0.0000 0.0000
0.0000 4.7221 0.0000
0.0000 0.0000 4.7221
Nb Ti Ta
1 3 1
Direct
0.5000 0.5000 0.5000
0.0000 0.5000 0.0000
0.0000 0.0000 0.5000
0.5000 0.0000 0.0000
0.0000 0.0000 0.0000
```

***

Version 2
VASP calculation (GGA-PBE) on a relaxed TaTi3Nb crystal.

Output
Symmetry = No. 221
Calculated volume = 20.3 Å³ per atom

```
TaTi3Nb
1.0
4.6684 0.0000 0.0000
0.0000 4.6684 0.0000
0.0000 0.0000 4.6684
Nb Ti Ta
1 3 1
Direct
0.0000 0.0000 0.0000
0.0000 0.5000 0.0000
0.0000 0.0000 0.5000
0.5000 0.0000 0.0000
0.5000 0.5000 0.5000
```

***

Version 3
VASP calculation (GGA-PBE) on a relaxed TaTi3Nb crystal.

Output
Symmetry = No. 12
Calculated volume = 17.6 Å³ per atom

```
TaTi3Nb
1.0
-1.8469 1.2529 -2.4524
-2.6976 -8.0929 0.1386
-5.1238 0.2657 3.9945
Ta Ti Nb
2 6 2
Direct
0.8045 0.6090 0.8573
0.1955 0.3910 0.1427
0.0041 0.0082 0.2752
0.9959 0.9918 0.7248
0.4084 0.8169 0.0512
0.5916 0.1831 0.9488
0.2045 0.4090 0.6625
0.7955 0.5910 0.3375
0.6057 0.2114 0.4617
0.3943 0.7886 0.5383
```

***

Which structure is most stable? version 3, by 103.7 kJ/mol of atoms over the runner-up.

***

Version 1
VASP calculation (GGA-PBE) on a relaxed Ta3TiNb6 crystal.

Output
Symmetry = No. 11
Calculated volume = 18.1 Å³ per atom

```
Ta3TiNb6
1.0
-4.5886 -0.9687 0.4824
1.8405 -7.4552 2.5359
-0.9389 8.0733 7.2810
Ta Ti Nb
6 2 12
Direct
0.7500 0.8464 0.4029
0.2500 0.1536 0.5971
0.7500 0.4526 0.7977
0.2500 0.5474 0.2023
0.7500 0.2540 0.0001
0.2500 0.7460 0.9999
0.7500 0.6453 0.5981
0.2500 0.3547 0.4019
0.7500 0.6510 0.1025
0.2500 0.3490 0.8975
0.7500 0.0514 0.2011
0.2500 0.9486 0.7989
0.7500 0.0506 0.6989
0.2500 0.9494 0.3011
0.7500 0.2474 0.4965
0.2500 0.7526 0.5035
0.7500 0.4467 0.2986
0.2500 0.5533 0.7014
0.7500 0.8523 0.9020
0.2500 0.1477 0.0980
```

***

Version 2
VASP calculation (GGA-PBE) on a relaxed Ta3TiNb6 crystal.

Output
Symmetry = No. 11
Calculated volume = 18.5 Å³ per atom

```
Ta3TiNb6
1.0
2.7562 0.0000 0.0000
0.0000 11.1719 0.9011
0.0000 -2.5695 11.8297
Ta Ti Nb
6 2 12
Direct
0.7500 0.4270 0.8996
0.2500 0.5730 0.1004
0.7500 0.6230 0.4972
0.2500 0.3770 0.5028
0.7500 0.0733 0.0993
0.2500 0.9267 0.9007
0.7500 0.0281 0.7045
0.2500 0.9719 0.2955
0.7500 0.5255 0.7012
0.2500 0.4745 0.2988
0.7500 0.8236 0.1020
0.2500 0.1764 0.8980
0.7500 0.3259 0.0998
0.2500 0.6741 0.9002
0.7500 0.7277 0.3023
0.2500 0.2723 0.6977
0.7500 0.1247 0.4964
0.2500 0.8753 0.5036
0.7500 0.7830 0.7043
0.2500 0.2170 0.2957
```

***

Which structure is most stable? version 1, by 17.3 kJ/mol of atoms over the runner-up.

***

Version 1
VASP calculation (GGA-PBE) on a relaxed Ta6TiNb2 crystal.

Output
Symmetry = No. 58
Calculated volume = 18.2 Å³ per atom

```
Ta6TiNb2
1.0
4.6955 0.0000 0.2223
0.0000 8.2981 0.0007
-0.3982 0.0007 8.4115
Ta Ti Nb
12 2 4
Direct
0.0000 0.9950 0.1643
0.0000 0.6669 0.5619
0.0000 0.6713 0.9019
0.5000 0.1713 0.5981
0.5000 0.1669 0.9381
0.5000 0.4950 0.3357
0.0000 0.0050 0.8357
0.0000 0.3331 0.4381
0.0000 0.3287 0.0981
0.5000 0.8287 0.4019
0.5000 0.8331 0.0619
0.5000 0.5050 0.6643
0.5000 0.5000 0.0000
0.0000 0.0000 0.5000
0.0000 0.3402 0.7677
0.5000 0.8403 0.7323
0.5000 0.1597 0.2677
0.0000 0.6598 0.2323
```

***

Version 2
VASP calculation (GGA-PBE) on a relaxed Ta6TiNb2 crystal.

Output
Symmetry = No. 2
Calculated volume = 18.1 Å³ per atom

```
Ta6TiNb2
1.0
4.6181 -0.7532 -0.0083
-0.9708 8.6590 4.4993
-2.0143 2.2836 9.3391
Ta Ti Nb
12 2 4
Direct
0.3571 0.6893 0.5255
0.1927 0.5255 0.3594
0.6429 0.3107 0.4745
0.8073 0.4745 0.6406
0.9150 0.9142 0.4160
0.5850 0.5858 0.0840
0.0850 0.0858 0.5840
0.4150 0.4142 0.9160
0.1429 0.8107 0.9745
0.3073 0.9745 0.1406
0.8571 0.1893 0.0255
0.6927 0.0255 0.8594
0.2500 0.2500 0.7500
0.7500 0.7500 0.2500
0.9741 0.6407 0.8075
0.4741 0.1407 0.3075
0.0259 0.3593 0.1925
0.5259 0.8593 0.6925
```

***

Which structure is most stable? version 2, by 7.8 kJ/mol of atoms over the runner-up.

***

Version 1
VASP calculation (GGA-PBE) on a relaxed Ta2TiNb3 crystal.

Output
Symmetry = No. 164
Calculated volume = 18.8 Å³ per atom

```
Ta2TiNb3
1.0
-0.9917 0.0967 5.3460
-0.7362 -4.5914 -2.8194
8.3458 -2.3144 1.5900
Ta Ti Nb
4 2 6
Direct
0.0000 0.0000 0.0000
0.6667 0.3333 0.5609
0.0000 0.0000 0.5000
0.3333 0.6667 0.4391
0.3333 0.6667 0.0636
0.6667 0.3333 0.9364
0.8287 0.6573 0.2507
0.3427 0.1713 0.2507
0.8287 0.1713 0.2507
0.1713 0.3427 0.7493
0.1713 0.8287 0.7493
0.6573 0.8287 0.7493
```

***

Version 2
VASP calculation (GGA-PBE) on a relaxed Ta2TiNb3 crystal.

Output
Symmetry = No. 12
Calculated volume = 18.0 Å³ per atom

```
Ta2TiNb3
1.0
-0.9641 2.6932 3.6907
4.3346 -2.0612 5.5903
5.6879 4.5789 1.0984
Ta Ti Nb
4 2 6
Direct
0.4605 0.2054 0.8737
0.5395 0.7946 0.1263
0.2098 0.4550 0.1255
0.7902 0.5450 0.8745
0.1275 0.8737 0.8714
0.8725 0.1263 0.1286
0.7093 0.9596 0.6217
0.0412 0.2910 0.6265
0.3763 0.6240 0.6235
0.6237 0.3760 0.3765
0.9588 0.7090 0.3735
0.2907 0.0404 0.3783
```

***

Which structure is most stable? version 2, by 15.8 kJ/mol of atoms over the runner-up.

***

Version 1
VASP calculation (GGA-PBE) on a relaxed Ta4TiNb4 crystal.

Output
Symmetry = No. 139
Calculated volume = 18.1 Å³ per atom

```
Ta4TiNb4
1.0
6.4794 1.6667 2.6803
-5.6959 -4.3281 -0.8766
2.6724 -1.5663 -6.5076
Ta Ti Nb
4 1 4
Direct
0.8333 0.8334 0.6667
0.1667 0.1666 0.3333
0.1666 0.8333 0.9999
0.8334 0.1667 0.0001
0.5000 0.5000 0.0000
0.4999 0.1683 0.6683
0.5001 0.8317 0.3317
0.8317 0.4999 0.3316
0.1683 0.5001 0.6684
```

***

Version 2
VASP calculation (GGA-PBE) on a relaxed Ta4TiNb4 crystal.

Output
Symmetry = No. 137
Calculated volume = 20.2 Å³ per atom

```
Ta4TiNb4
1.0
-0.3858 -5.7447 1.4731
2.6187 -1.4895 -5.1229
9.2025 0.5474 4.5449
Ta Ti Nb
8 2 8
Direct
0.2208 0.5000 0.9336
0.7792 0.5000 0.9336
0.5000 0.7792 0.0664
0.5000 0.2208 0.0664
0.0000 0.7208 0.4336
0.0000 0.2792 0.4336
0.2792 0.0000 0.5664
0.7208 0.0000 0.5664
0.0000 0.0000 0.0000
0.5000 0.5000 0.5000
0.5000 0.7540 0.7657
0.5000 0.2460 0.7657
0.7540 0.5000 0.2343
0.2460 0.5000 0.2343
0.2540 0.0000 0.2657
0.7460 0.0000 0.2657
0.0000 0.2540 0.7343
0.0000 0.7460 0.7343
```

***

Which structure is most stable? version 1, by 58.7 kJ/mol of atoms over the runner-up.

***

Version 1
VASP calculation (GGA-PBE) on a relaxed Ta2TiNb6 crystal.

Output
Symmetry = No. 166
Calculated volume = 19.3 Å³ per atom

```
Ta2TiNb6
1.0
4.7453 0.0000 0.0000
2.3726 4.1095 0.0000
2.3726 1.3698 8.9058
Ta Ti Nb
2 1 6
Direct
0.9024 0.9024 0.2927
0.0976 0.0976 0.7073
0.0000 0.0000 0.0000
0.5955 0.5955 0.2136
0.8049 0.8049 0.5852
0.7029 0.7029 0.8914
0.1951 0.1951 0.4148
0.4045 0.4045 0.7864
0.2971 0.2971 0.1086
```

***

Version 2
VASP calculation (GGA-PBE) on a relaxed Ta2TiNb6 crystal.

Output
Symmetry = No. 2
Calculated volume = 18.1 Å³ per atom

```
Ta2TiNb6
1.0
4.5877 -0.3582 -0.9334
-0.0709 4.9527 -2.3527
-0.9079 0.1435 7.3255
Ta Ti Nb
2 1 6
Direct
0.8884 0.3425 0.7766
0.1116 0.6575 0.2234
0.0000 0.0000 0.0000
0.6627 0.9980 0.3261
0.3373 0.0020 0.6739
0.2259 0.3304 0.4519
0.5532 0.3307 0.1067
0.4467 0.6693 0.8933
0.7742 0.6696 0.5481
```

***

Which structure is most stable? version 2, by 30.1 kJ/mol of atoms over the runner-up.

***

Version 1
VASP calculation (GGA-PBE) on a relaxed TaTiNb3 crystal.

Output
Symmetry = No. 221
Calculated volume = 20.2 Å³ per atom

```
TaTiNb3
1.0
4.6605 0.0000 0.0000
0.0000 4.6605 0.0000
0.0000 0.0000 4.6605
Nb Ti Ta
3 1 1
Direct
0.0000 0.5000 0.0000
0.0000 0.0000 0.5000
0.5000 0.0000 0.0000
0.0000 0.0000 0.0000
0.5000 0.5000 0.5000
```

***

Version 2
VASP calculation (GGA-PBE) on a relaxed TaTiNb3 crystal.

Output
Symmetry = No. 12
Calculated volume = 18.4 Å³ per atom

```
TaTiNb3
1.0
-1.8039 -0.6724 -1.9194
4.4860 -6.0423 -0.1743
-7.3378 -0.2744 6.9923
Ta Ti Nb
2 2 6
Direct
0.4239 0.8478 0.5459
0.5761 0.1522 0.4541
0.1202 0.2403 0.7427
0.8798 0.7597 0.2573
0.9731 0.9462 0.8454
0.0269 0.0538 0.1546
0.6721 0.3442 0.0389
0.3279 0.6558 0.9611
0.7255 0.4510 0.3511
0.2745 0.5490 0.6489
```

***

Which structure is most stable? version 2, by 103.6 kJ/mol of atoms over the runner-up.

***

Version 1
VASP calculation (GGA-PBE) on a relaxed Ta3NbTl crystal.

Output
Symmetry = No. 221
Calculated volume = 23.8 Å³ per atom

```
Ta3NbTl
1.0
4.9202 0.0000 0.0000
0.0000 4.9202 0.0000
0.0000 0.0000 4.9202
Tl Nb Ta
1 1 3
Direct
0.5000 0.5000 0.5000
0.0000 0.0000 0.0000
0.0000 0.5000 0.0000
0.0000 0.0000 0.5000
0.5000 0.0000 0.0000
```

***

Version 2
VASP calculation (GGA-PBE) on a relaxed Ta3NbTl crystal.

Output
Symmetry = No. 221
Calculated volume = 25.2 Å³ per atom

```
Ta3NbTl
1.0
-3.5654 2.5474 2.4290
-3.1857 -0.8651 -3.7688
-1.4968 -4.2266 2.2354
Tl Nb Ta
1 1 3
Direct
0.0000 0.0000 0.0000
0.5000 0.5000 0.5000
0.0000 0.5000 0.0000
0.0000 0.0000 0.5000
0.5000 0.0000 0.0000
```

***

Which structure is most stable? version 1, by 82.3 kJ/mol of atoms over the runner-up.